# 1
A relaxed Ba4BiI4 crystal. Source: Alexandria via LeMat-Bulk, functional PBE.

Computed properties:
E_form (uncorrected) in eV per atom: -1.48
Crystal system: monoclinic

Unit cell a=5.0748 b=8.7083 c=11.2401 alpha=75.59 beta=76.95 gamma=73.06
Sites, in units of the cell vectors:
Ba 0.0920 0.7191 0.0968
I 0.1084 0.1851 0.5981
I 0.8916 0.8149 0.4019
Ba 0.6950 0.8988 0.7111
Ba 0.3050 0.1012 0.2889
Bi 0.5000 0.0000 0.0000
I 0.6971 0.4040 0.2019
Ba 0.9080 0.2809 0.9032
I 0.3029 0.5960 0.7981

# 2
A relaxed Cs2MnVCl6 crystal. Source: Alexandria via LeMat-Bulk, functional PBE.

Computed properties:
E_form (uncorrected) in eV per atom: -1.47
Crystal system: cubic

Unit cell a=7.2260 b=7.2260 c=7.2246 alpha=59.99 beta=59.99 gamma=90.00
Sites, in units of the cell vectors:
Cl 0.7490 0.2510 0.0000
Cl 0.2510 0.2510 0.0000
Cl 0.2509 0.2509 0.4983
V 0.5000 0.5000 0.0000
Cl 0.7491 0.7491 0.5017
Cs 0.2500 0.7500 0.5000
Cs 0.7500 0.2500 0.5000
Mn 0.0000 0.0000 0.0000
Cl 0.2510 0.7490 0.0000
Cl 0.7490 0.7490 0.0000

# 3
A relaxed AcPmSnPd crystal. Source: Alexandria via LeMat-Bulk, functional PBE.

Computed properties:
Crystal system: cubic
Calculated formation energy in eV/atom: -0.635

Unit cell a=5.4691 b=5.4691 c=5.4691 alpha=60.00 beta=60.00 gamma=60.00
Sites, in units of the cell vectors:
Sn 0.0000 0.0000 0.0000
Ac 0.2500 0.2500 0.2500
Pd 0.5000 0.5000 0.5000
Pm 0.7500 0.7500 0.7500

# 4
A relaxed La3In crystal. Source: Alexandria via LeMat-Bulk, functional PBE.

Computed properties:
Energy above the lowest structure with this stoichiometry in meV/atom: 18
Crystal system: hexagonal
Calculated formation energy in eV/atom: -0.285

Unit cell a=7.1973 b=7.1973 c=11.6011 alpha=90.00 beta=90.00 gamma=120.00
Sites, in units of the cell vectors:
In 0.0000 0.0000 0.5000
In 0.6667 0.3333 0.7500
In 0.3333 0.6667 0.2500
La 0.5000 0.0000 0.0000
La 0.8411 0.1589 0.2500
La 0.5000 0.5000 0.5000
La 0.6822 0.8411 0.7500
In 0.0000 0.0000 0.0000
La 0.5000 0.5000 0.0000
La 0.0000 0.5000 0.0000
La 0.1589 0.3178 0.7500
La 0.3178 0.1589 0.2500
La 0.8411 0.6822 0.2500
La 0.0000 0.5000 0.5000
La 0.5000 0.0000 0.5000
La 0.1589 0.8411 0.7500

# 5
A relaxed TlRuI2 crystal. Source: Alexandria via LeMat-Bulk, functional PBE.

Computed properties:
E_form (uncorrected) in eV per atom: 0.12
Energy above the lowest structure with this stoichiometry in meV/atom: 0
Crystal system: tetragonal

Unit cell a=9.5973 b=9.5973 c=7.3272 alpha=49.09 beta=49.09 gamma=90.00
Sites, in units of the cell vectors:
Ru 0.5000 0.5000 0.0000
I 0.4872 0.1250 0.2500
I 0.3750 0.5128 0.7500
Ru 0.2500 0.7500 0.5000
Tl 0.7500 0.2500 0.5000
I 0.2628 0.6250 0.2500
I 0.8750 0.7372 0.7500
Tl 0.0000 0.0000 0.0000

# 6
A relaxed Tl2Ag3Pd4 crystal. Source: Alexandria via LeMat-Bulk, functional PBE.

Computed properties:
Crystal system: triclinic
Calculated formation energy in eV/atom: -0.108

Unit cell a=4.8321 b=4.3203 c=9.7283 alpha=63.78 beta=70.01 gamma=63.34
Sites, in units of the cell vectors:
Pd 0.0014 0.3289 0.6699
Pd 0.9986 0.6711 0.3301
Ag 0.3233 0.8906 0.4478
Pd 0.6650 0.7789 0.8882
Tl 0.6641 0.4505 0.2179
Ag 0.0000 0.0000 0.0000
Ag 0.6767 0.1094 0.5522
Tl 0.3359 0.5495 0.7821
Pd 0.3350 0.2211 0.1118